Record 1
# NaSrCuO2 | Alexandria | GGA-PBE | optimized geometry
data_NaSrCuO2
_cell_length_a 5.831
_cell_length_b 4.171
_cell_length_c 6.572
_cell_angle_alpha 90.00
_cell_angle_beta 101.49
_cell_angle_gamma 90.00
_space_group_name_H-M_alt 'P 1 2/c 1'
_space_group_IT_number 13
loop_
_space_group_symop_operation_xyz
'x,y,z'
'-x,-y,-z'
'-x,y,-z+1/2'
'x,-y,z+1/2'
loop_
_atom_site_label
_atom_site_type_symbol
_atom_site_fract_x
_atom_site_fract_y
_atom_site_fract_z
Na1 Na 0.000 0.019 0.250
Sr1 Sr 0.500 0.278 0.750
Cu1 Cu 0.000 0.500 0.000
O1 O 0.264 0.248 0.042
# DOS at the Fermi energy: 0.0 states/eV/cell
# VASP energy: -4.99 eV per atom
# Total moment: 0.0 Bohr magnetons per cell

***

Record 2
# NaSr2CuO | Alexandria | GGA-PBE | optimized geometry
data_NaSr2CuO
_cell_length_a 5.942
_cell_length_b 5.942
_cell_length_c 3.977
_cell_angle_alpha 90.00
_cell_angle_beta 90.00
_cell_angle_gamma 90.00
_space_group_name_H-M_alt 'P 4/m m m'
_space_group_IT_number 123
_space_group_name_Hall '-P 4 2'
loop_
_atom_site_label
_atom_site_type_symbol
_atom_site_fract_x
_atom_site_fract_y
_atom_site_fract_z
Na1 Na 0.000 0.000 0.000
Sr1 Sr 0.000 0.500 0.000
Cu1 Cu 0.500 0.500 0.500
O1 O 0.000 0.000 0.500
# Distance to the lowest polymorph of the same formula: 859 meV/atom
# DOS at the Fermi energy: 2.1 states/eV/cell
# VASP energy: -2.81 eV per atom
# Total moment: 0.0 Bohr magnetons per cell